The following is a PBE with a Hubbard U calculation of a relaxed Rb3ErMo2O8 crystal, from Alexandria.

Cell: 6.193 6.193 8.031 Å, 90.00 90.00 120.00°
Each line ends with the local moment (μB).
Positions (direct):
Rb 0.333 0.667 0.680  0.00
Rb 0.667 0.333 0.320  0.00
Rb 0.000 0.000 0.000  0.00
Er 0.000 0.000 0.500  0.09
Mo 0.333 0.667 0.244  1.01
Mo 0.667 0.333 0.756  1.01
O 0.333 0.667 0.020  -0.04
O 0.667 0.333 0.980  -0.04
O 0.170 0.830 0.335  -0.02
O 0.830 0.170 0.665  -0.02
O 0.170 0.341 0.335  -0.02
O 0.830 0.659 0.665  -0.02
O 0.659 0.830 0.335  -0.02
O 0.341 0.170 0.665  -0.02

* energy: -89.39 eV per formula unit
* symmetry: P-3m1, No. 164